A plane-wave DFT calculation with PBE with a Hubbard U was carried out for a relaxed PmCoPtO4 crystal.

Summary:
- DFT total energy: -6.496 eV per atom

abc: 5.958 8.837 7.312
angles: 90.00 90.00 90.00
Space group Cmcm (No. 63)
Inequivalent atoms, fractional coordinates:
1 Pm 0.000 0.000 0.000 [4 per cell]
2 Co 0.000 0.359 0.250 [4 per cell]
3 Pt 0.000 0.295 0.750 [4 per cell]
4 O 0.000 0.269 0.024 [8 per cell]
5 O 0.243 0.494 0.750 [8 per cell]